A plane-wave DFT calculation with GGA-PBE was carried out for a relaxed structure of Tl2NiIr2.

a = 7.7351 Å, b = 7.7351 Å, c = 3.1339 Å
α = 90.00°, β = 90.00°, γ = 90.00°
Each line ends with the local moment (μB).
Element x y z (fractional)
1 Tl 0.8345 0.6655 0.0000  0.00
2 Tl 0.1655 0.3345 0.0000  0.00
3 Tl 0.6655 0.1655 0.0000  0.00
4 Tl 0.3345 0.8345 0.0000  0.00
5 Ir 0.6338 0.8662 0.5000  0.04
6 Ir 0.1338 0.6338 0.5000  0.03
7 Ir 0.3662 0.1338 0.5000  0.04
8 Ir 0.8662 0.3662 0.5000  0.03
9 Ni 0.0000 0.0000 0.0000  0.28
10 Ni 0.5000 0.5000 0.0000  0.28

ΔH_f (0 K), eV/atom: 0.80
Excess energy over the best structure of this formula in the dataset, kJ/mol of atoms: 37.8
VASP energy, eV per atom: -4.84
D(E_F), states/eV per atom: 0.96